VASP calculation (PBE) on GaTeO3 after structural relaxation.

The calculation puts the total energy at -4.899 eV per atom. The energy relative to the elements, uncorrected is -3.451 eV/f.u.

It has space group Pm-3m (No. 221), with a = 4.072 Å, b = 4.072 Å, c = 4.072 Å, α = 90.00°, β = 90.00° and γ = 90.00°. The distinct sites, in fractional coordinates, are Ga at (0.000, 0.000, 0.000), Te at (0.500, 0.500, 0.500) and O at (0.000, 0.500, 0.500).

=====

VASP calculation (PBE) on GaTe2O after structural relaxation.

The calculation puts the total energy at -3.594 eV per atom. The energy relative to the elements, uncorrected is -0.107 eV/f.u.

It has space group I-42d (No. 122), with a = 5.408 Å, b = 5.408 Å, c = 14.022 Å, α = 90.00°, β = 90.00° and γ = 90.00°. The distinct sites, in fractional coordinates, are Ga at (0.000, 0.000, 0.000), Te at (0.158, 0.250, 0.625) and O at (0.000, 0.000, 0.500).

=====

VASP calculation (PBE) on Ga2Te2O after structural relaxation.

The calculation puts the total energy at -3.894 eV per atom. The energy relative to the elements, uncorrected is -2.173 eV/f.u.

It has space group I4/mmm (No. 139), with a = 6.151 Å, b = 6.151 Å, c = 6.091 Å, α = 90.00°, β = 90.00° and γ = 90.00°. The distinct sites, in fractional coordinates, are Ga at (0.000, 0.000, 0.207), Te at (0.000, 0.500, 0.250) and O at (0.000, 0.000, 0.500).

=====

VASP calculation (PBE) on GaTe2O after structural relaxation.

The calculation puts the total energy at -3.347 eV per atom. The energy relative to the elements, uncorrected is 0.879 eV/f.u.

It has space group R-3m (No. 166, hexagonal axes), with a = 3.1947 Å, b = 3.1947 Å, c = 28.2448 Å, α = 90.00°, β = 90.00° and γ = 120.00°. The distinct sites, in fractional coordinates, are Ga at (0.0000, 0.0000, 0.0000), Te at (0.0000, 0.0000, 0.1027) and O at (0.0000, 0.0000, 0.5000).

=====

VASP calculation (PBE) on GaTeO3 after structural relaxation.

The calculation puts the total energy at -5.304 eV per atom. The energy relative to the elements, uncorrected is -5.475 eV/f.u.

It has space group P-1 (No. 2), with a = 3.762 Å, b = 6.501 Å, c = 6.903 Å, α = 70.45°, β = 89.93° and γ = 73.21°. The distinct sites, in fractional coordinates, are Ga at (0.109, 0.279, 0.175), Te at (0.165, 0.173, 0.704), O at (0.054, 0.395, 0.871), O at (0.279, 0.938, 0.188) and O at (0.347, 0.808, 0.715).

=====

VASP calculation (PBE) on GaTeO2 after structural relaxation.

The calculation puts the total energy at -4.879 eV per atom. The energy relative to the elements, uncorrected is -3.430 eV/f.u.

It has space group I-42d (No. 122), with a = 5.376 Å, b = 5.376 Å, c = 8.816 Å, α = 90.00°, β = 90.00° and γ = 90.00°. The distinct sites, in fractional coordinates, are Ga at (0.000, 0.000, 0.000), Te at (0.000, 0.000, 0.500) and O at (0.125, 0.250, 0.125).

=====

VASP calculation (PBE) on GaTeO4 after structural relaxation.

The calculation puts the total energy at -5.539 eV per atom. The energy relative to the elements, uncorrected is -7.233 eV/f.u.

It has space group Pnc2 (No. 30), with a = 5.107 Å, b = 4.749 Å, c = 5.801 Å, α = 90.00°, β = 90.00° and γ = 90.00°. The distinct sites, in fractional coordinates, are Ga at (0.000, 0.000, 0.000), Te at (0.500, 0.000, 0.326), O at (0.169, 0.236, 0.278) and O at (0.325, 0.723, 0.564).

=====

VASP calculation (PBE) on Ga2Te2O after structural relaxation.

The calculation puts the total energy at -3.165 eV per atom. The energy relative to the elements, uncorrected is 1.469 eV/f.u.

It has space group I4/mmm (No. 139), with a = 4.038 Å, b = 4.038 Å, c = 13.861 Å, α = 90.00°, β = 90.00° and γ = 90.00°. The distinct sites, in fractional coordinates, are Ga at (0.000, 0.500, 0.250), Te at (0.000, 0.000, 0.111) and O at (0.000, 0.000, 0.500).

=====

Record order is preserved below.
Ρ: 6.03, 5.52, 5.92, 6.80, 5.38, 5.98, 6.17, 6.03 g/cm³